Compound: Sc6Fe2Pd
Source: Alexandria via LeMat-Bulk
Functional: PBE-GGA
Structure: relaxed

Computed properties:
**Formation enthalpy at 0 K**: -0.2835 eV per atom
**Electronic total energy**: -250.637 eV per cell
**Crystal system**: orthorhombic

a = 8.734 Å, b = 8.752 Å, c = 9.095 Å
α = 90.00°, β = 90.00°, γ = 90.00°
Space group Immm (No. 71)
Unique sites:
1 Sc 0.000 0.198 0.246 [8 per cell]
2 Sc 0.188 0.500 0.172 [8 per cell]
3 Sc 0.227 0.319 0.500 [8 per cell]
4 Fe 0.000 0.337 0.000 [4 per cell]
5 Fe 0.000 0.500 0.384 [4 per cell]
6 Pd 0.000 0.000 0.000 [2 per cell]
7 Pd 0.000 0.000 0.500 [2 per cell]